## ZnRu2Cl (PBE)

Data for crystalline ZnRu2Cl at its relaxed geometry.

As for the uncorrected energy: -74.06 eV per cell. The value obtained for the polymorph energy (0 for the lowest one) is 72.13 kJ per mole of atoms.

The space group is Fm-3m (No. 225) and the conventional cell measures 6.1209, 6.1209 and 6.1209 Å, with angles of 90.00, 90.00 and 90.00 degrees. Symmetry generates all atoms from Zn at (0.0000, 0.0000, 0.0000), Ru at (0.2500, 0.2500, 0.2500) and Cl at (0.0000, 0.0000, 0.5000).

---

## ZnRuCl3 (PBE)

Data for crystalline ZnRuCl3 at its relaxed geometry.

As for the uncorrected energy: -16.16 eV per cell. The value obtained for the polymorph energy (0 for the lowest one) is 0.00 kJ per mole of atoms.

The space group is Pm-3m (No. 221) and the conventional cell measures 4.8146, 4.8146 and 4.8146 Å, with angles of 90.00, 90.00 and 90.00 degrees. Symmetry generates all atoms from Zn at (0.0000, 0.0000, 0.0000), Ru at (0.5000, 0.5000, 0.5000) and Cl at (0.0000, 0.5000, 0.5000).

---

Which of these has the lowest polymorph energy (0 for the lowest one)?
ZnRuCl3

---

Among the records above, which one has the highest uncorrected energy?
ZnRuCl3

---

Look up the uncorrected energy of the first one.
-74.06 eV per cell

---

Repeat the second record exactly.
## ZnRuCl3 (PBE)

Data for crystalline ZnRuCl3 at its relaxed geometry.

As for the uncorrected energy: -16.16 eV per cell. The value obtained for the polymorph energy (0 for the lowest one) is 0.00 kJ per mole of atoms.

The space group is Pm-3m (No. 221) and the conventional cell measures 4.8146, 4.8146 and 4.8146 Å, with angles of 90.00, 90.00 and 90.00 degrees. Symmetry generates all atoms from Zn at (0.0000, 0.0000, 0.0000), Ru at (0.5000, 0.5000, 0.5000) and Cl at (0.0000, 0.5000, 0.5000).